DFT (PBE with a Hubbard U) results for a geometry-optimized CaMnBiO6 structure.

a b c (Å): 5.371 5.371 9.876
angles (deg): 90.00 90.00 120.00
Sites, in units of the cell vectors:
Ca1 0.000 0.000 0.000
Ca2 0.000 0.000 0.500
Mn1 0.667 0.333 0.250
Mn2 0.333 0.667 0.750
Bi1 0.333 0.667 0.250
Bi2 0.667 0.333 0.750
O1 0.651 0.621 0.139
O2 0.969 0.349 0.139
O3 0.349 0.969 0.639
O4 0.031 0.651 0.861
O5 0.379 0.349 0.361
O6 0.969 0.621 0.361
O7 0.621 0.969 0.861
O8 0.651 0.031 0.361
O9 0.031 0.379 0.639
O10 0.379 0.031 0.139
O11 0.621 0.651 0.639
O12 0.349 0.379 0.861

Summary:
- Total energy: -111.03 eV for the cell shown
- V: 247 Å³/cell
- Space-group type: No. 163